Computed, not measured: a PBEsol-optimized structure of CeAlO3 at the SCAN level of DFT.

```
CeAlO3
1.0
-2.0341 4.3977 2.1306
-1.5150 -0.0042 5.0717
2.8025 2.7184 3.5740
Ce Al O
2 2 6
Cartesian
-0.1866 1.7780 2.6941 Ce
-0.5599 5.3339 8.0822 Ce
0.0000 0.0000 0.0000 Al
-0.3733 3.5559 5.3881 Al
0.2769 3.0213 7.0794 O
0.3996 5.2659 5.6066 O
-1.9829 4.1585 6.1724 O
-1.0234 4.0905 3.6968 O
1.2363 2.9533 4.6039 O
-1.1461 1.8460 5.1696 O
```

Summary:
The crystal system is trigonal. The calculation puts the calculated total energy at -177.9 eV per cell. The space group is R-3c (167).